Entry 1:
Below is a relaxed structure of Mg2ZrIn, with properties calculated at the PBE-GGA level.

Structure (POSCAR):
```
Mg2ZrIn
1.0
-0.507 2.222 2.268
0.413 -3.183 3.211
6.112 1.091 0.295
In Zr Mg
1 1 2
direct
0.500 0.500 0.750
0.500 0.500 0.250
0.000 0.000 0.009
0.000 0.000 0.491
```

Calculated values
* E_form: -0.03 eV per atom

Entry 2:
Below is a relaxed structure of MgZrIn2, with properties calculated at the PBE-GGA level.

Structure (POSCAR):
```
MgZrIn2
1.0
3.190 -0.008 0.000
-1.269 2.926 0.000
0.000 0.000 10.248
Zr In Mg
1 2 1
direct
0.500 0.500 0.750
0.500 0.500 0.251
0.000 0.000 0.994
0.000 0.000 0.505
```

Calculated values
* E_form: 0.01 eV per atom

Entry 3:
Below is a relaxed structure of Mg2ZrIn4, with properties calculated at the PBE-GGA level.

Structure (POSCAR):
```
Mg2ZrIn4
1.0
5.631 -0.667 -2.389
-2.999 5.206 -1.327
-0.384 0.667 6.104
Zr In Mg
1 4 2
direct
0.000 0.000 0.000
0.000 0.500 0.000
0.000 0.000 0.500
0.500 0.500 0.500
0.500 0.000 0.000
0.500 0.000 0.500
0.500 0.500 0.000
```

Calculated values
* E_form: -0.19 eV per atom

Entry 4:
Below is a relaxed structure of MgZr9In2, with properties calculated at the PBE-GGA level.

Structure (POSCAR):
```
MgZr9In2
1.0
4.479 0.000 0.000
0.000 4.479 0.000
0.000 0.000 13.427
Zr In Mg
9 2 1
direct
0.500 0.500 0.000
0.500 0.000 0.500
0.500 0.500 0.666
0.000 0.500 0.833
0.500 0.500 0.334
0.500 0.000 0.833
0.000 0.500 0.167
0.000 0.500 0.500
0.500 0.000 0.167
0.000 0.000 0.333
0.000 0.000 0.667
0.000 0.000 0.000
```

Calculated values
* E_form: -0.16 eV per atom

Entry 5:
Below is a relaxed structure of Mg2ZrIn, with properties calculated at the PBE-GGA level.

Structure (POSCAR):
```
Mg2ZrIn
1.0
8.056 0.000 0.000
0.000 8.056 0.000
4.028 4.028 2.984
Mg In Zr
4 2 2
direct
0.105 0.625 0.250
0.875 0.895 0.750
0.375 0.355 0.750
0.645 0.125 0.250
0.000 0.000 0.000
0.750 0.250 0.500
0.250 0.750 0.500
0.500 0.500 0.000
```

Calculated values
* E_form: 0.25 eV per atom

Entry 6:
Below is a relaxed structure of MgZrIn2, with properties calculated at the PBE-GGA level.

Structure (POSCAR):
```
MgZrIn2
1.0
-3.946 1.322 1.564
-0.815 -0.126 4.368
0.537 6.077 2.537
Mg In Zr
1 2 1
direct
0.491 0.491 0.527
0.251 0.251 0.246
0.082 0.082 0.753
0.675 0.675 0.974
```

Calculated values
* E_form: 0.11 eV per atom

Entry 7:
Below is a relaxed structure of Mg2ZrIn2, with properties calculated at the PBE-GGA level.

Structure (POSCAR):
```
Mg2ZrIn2
1.0
-6.767 1.601 4.421
0.388 -7.531 3.321
1.904 1.193 2.482
In Zr Mg
4 2 4
direct
0.139 0.361 0.000
0.639 0.139 0.000
0.861 0.639 0.000
0.361 0.861 0.000
0.000 0.000 0.000
0.500 0.500 0.000
0.838 0.338 0.500
0.162 0.662 0.500
0.662 0.838 0.500
0.338 0.162 0.500
```

Calculated values
* E_form: -0.02 eV per atom

Entry 8:
Below is a relaxed structure of Mg2ZrIn, with properties calculated at the PBE-GGA level.

Structure (POSCAR):
```
Mg2ZrIn
1.0
6.070 -0.024 0.272
5.102 3.289 0.272
1.799 0.526 4.611
In Zr Mg
1 1 2
direct
0.750 0.750 0.750
0.250 0.250 0.250
0.497 0.497 0.503
0.003 0.003 0.997
```

Calculated values
* E_form: -0.05 eV per atom